# CsRbTlPb

An optimized crystal structure of CsRbTlPb (GGA-PBE, Alexandria).

The calculation puts the energy above the lowest structure with this stoichiometry at 15.0 meV per atom. The formation energy from the elements is -0.055 eV/atom. The value obtained for the mass density is 6.37 g cm⁻³. Its calculated total energy is -2.0292 eV/atom.

The structure belongs to space group F-43m (No. 216); the cell edges are 8.6930, 8.6930 and 8.6930 Å and the angles 90.00°, 90.00° and 90.00°. The inequivalent atoms are Cs at (0.0000, 0.0000, 0.0000), Rb at (0.2500, 0.2500, 0.2500), Tl at (0.2500, 0.2500, 0.7500) and Pb at (0.0000, 0.0000, 0.5000).